No. 1
Here is crystalline GaCuBi2H at its relaxed geometry from Alexandria via LeMat-Bulk. Energies are from GGA-PBE.

**Space-group type**: P4/mmm
**Energy above the lowest structure with this stoichiometry**: 250.9 meV/atom

Unit cell a=4.9549 b=4.0488 c=4.9549 alpha=90.00 beta=90.00 gamma=90.00
Last column: nearest neighbours and their distance in Å.
Fractional coordinates of all 5 atoms:
Bi  0.0000  0.0000  0.5000  2 H 2.48
Bi  0.5000  0.0000  0.0000  2 H 2.48
H  0.0000  0.0000  0.0000  2 Ga 2.02
Cu  0.5000  0.5000  0.5000  8 Bi 3.20, 4 Ga 3.50
Ga  0.0000  0.5000  0.0000  2 H 2.02

---

No. 2
Here is crystalline YMg2CrRu at its relaxed geometry from Alexandria via LeMat-Bulk. Energies are from GGA-PBE.

**Space-group type**: P4/mmm
**Electronic total energy**: -18.288 eV per formula unit

Unit cell a=5.1187 b=4.2633 c=5.1187 alpha=90.00 beta=90.00 gamma=90.00
Last column: nearest neighbours and their distance in Å.
Fractional coordinates of all 5 atoms:
Y  0.0000  0.0000  0.0000  2 Cr 2.13
Ru  0.5000  0.5000  0.5000  8 Mg 3.33, 4 Cr 3.62
Cr  0.0000  0.5000  0.0000  2 Y 2.13
Mg  0.5000  0.0000  0.0000  2 Y 2.56
Mg  0.0000  0.0000  0.5000  2 Y 2.56

---

No. 3
Here is crystalline ErBiPb2O5 at its relaxed geometry from Alexandria via LeMat-Bulk. Energies are from GGA-PBE.

**Space-group type**: Cmc2_1
**Electronic total energy**: -56.674 eV per formula unit

Unit cell a=3.6664 b=7.1235 c=13.0875 alpha=90.00 beta=90.00 gamma=104.91
Last column: nearest neighbours and their distance in Å.
Fractional coordinates of all 18 atoms:
O  0.4380  0.8759  0.0670  1 Bi 2.26, 2 Pb 2.27, 1 Er 2.47
O  0.2828  0.5656  0.3995  1 Pb 2.27, 2 Er 2.35, 1 Bi 2.38
O  0.9001  0.8003  0.5199  2 Bi 2.23, 1 Er 2.39
O  0.2178  0.4356  0.6042  1 Pb 2.18, 2 Er 2.32
O  0.6209  0.2417  0.3615  1 Er 2.30, 2 Pb 2.34, 1 Bi 2.55
O  0.5620  0.1241  0.5670  1 Bi 2.26, 2 Pb 2.27, 1 Er 2.47
O  0.0999  0.1997  0.0199  2 Bi 2.23, 1 Er 2.39
O  0.7822  0.5644  0.1042  1 Pb 2.18, 2 Er 2.32
O  0.3791  0.7583  0.8615  1 Er 2.30, 2 Pb 2.34, 1 Bi 2.55
O  0.7172  0.4344  0.8995  1 Pb 2.27, 2 Er 2.35, 1 Bi 2.38
Pb  0.8233  0.6466  0.7667  3 O 2.27-2.34
Pb  0.0717  0.1435  0.6694  3 O 2.18-2.27
Pb  0.9283  0.8565  0.1694  3 O 2.18-2.27
Pb  0.1767  0.3534  0.2667  3 O 2.27-2.34
Er  0.7282  0.4563  0.4959  7 O 2.30-2.47
Er  0.2718  0.5437  0.9959  7 O 2.30-2.47
Bi  0.4514  0.9028  0.4398  4 O 2.23-2.38
Bi  0.5486  0.0972  0.9398  4 O 2.23-2.38

---

No. 4
Here is crystalline KIrRu at its relaxed geometry from Alexandria via LeMat-Bulk. Energies are from GGA-PBE.

**Space-group type**: Pnma
**Energy above the lowest structure with this stoichiometry**: 197.0 meV/atom

Unit cell a=8.0256 b=4.4028 c=7.0059 alpha=90.00 beta=90.00 gamma=90.00
Last column: nearest neighbours and their distance in Å.
Fractional coordinates of all 12 atoms:
Ru  0.8498  0.2500  0.4182  3 Ir 2.43-2.50
Ru  0.6502  0.7500  0.9182  3 Ir 2.43-2.50
Ru  0.3498  0.2500  0.0818  3 Ir 2.43-2.50
Ru  0.1502  0.7500  0.5818  3 Ir 2.43-2.50
K  0.5030  0.2500  0.6392  2 K 2.94, 3 Ru 3.17-3.18, 3 Ir 3.18-3.23
K  0.9970  0.7500  0.1392  2 K 2.94, 3 Ru 3.17-3.18, 3 Ir 3.18-3.23
K  0.4970  0.7500  0.3608  2 K 2.94, 3 Ru 3.17-3.18, 3 Ir 3.18-3.23
K  0.0030  0.2500  0.8608  2 K 2.94, 3 Ru 3.17-3.18, 3 Ir 3.18-3.23
Ir  0.1523  0.2500  0.4136  3 Ru 2.43-2.50
Ir  0.8477  0.7500  0.5864  3 Ru 2.43-2.50
Ir  0.6523  0.2500  0.0864  3 Ru 2.43-2.50
Ir  0.3477  0.7500  0.9136  3 Ru 2.43-2.50

---

Fermi-level density of states, record by record: 0.360; 1.153; 0.000; 0.609 states/eV/atom